Record 1
The following is a meta-GGA SCAN calculation of a PBEsol-optimized structure of ZnTc2Ir, from Alexandria.

Lattice parameters (Å, degrees): 2.7257 4.2900 4.7188 90.00 90.00 90.00
Element x y z (fractional)
1 Zn 0.0000 0.0000 0.0000
2 Tc 0.5000 0.0000 0.4850
3 Tc 0.5000 0.5000 0.1945
4 Ir 0.0000 0.5000 0.6997

## Properties
ΔE_f: -94 meV/atom
Space-group type: Pmm2


Record 2
The following is a meta-GGA SCAN calculation of a PBEsol-optimized structure of ZnTcIr2, from Alexandria.

Lattice parameters (Å, degrees): 2.8498 4.4098 8.7808 90.00 90.00 90.00
Element x y z (fractional)
1 Zn 0.0000 0.0000 0.0000
2 Zn 0.5000 0.5000 0.5000
3 Tc 0.0000 0.5000 0.2626
4 Tc 0.5000 0.0000 0.7626
5 Ir 0.0000 0.0000 0.5042
6 Ir 0.0000 0.5000 0.7318
7 Ir 0.5000 0.0000 0.2318
8 Ir 0.5000 0.5000 0.0042

## Properties
ΔE_f: 72 meV/atom
Space-group type: Imm2


Record 3
The following is a meta-GGA SCAN calculation of a PBEsol-optimized structure of Zn2TcIr, from Alexandria.

Lattice parameters (Å, degrees): 5.2469 7.8160 2.6891 90.00 90.00 90.00
Element x y z (fractional)
1 Zn 0.2500 0.2500 0.0000
2 Zn 0.2500 0.7500 0.0000
3 Zn 0.7500 0.2500 0.0000
4 Zn 0.7500 0.7500 0.0000
5 Tc 0.0000 0.0000 0.5000
6 Tc 0.5000 0.5000 0.5000
7 Ir 0.0000 0.5000 0.5000
8 Ir 0.5000 0.0000 0.5000

## Properties
ΔE_f: 145 meV/atom
Space-group type: Cmmm


Record 4
The following is a meta-GGA SCAN calculation of a PBEsol-optimized structure of ZnTc2Ir, from Alexandria.

Lattice parameters (Å, degrees): 6.0533 6.0533 6.0533 90.00 90.00 90.00
Element x y z (fractional)
1 Zn 0.0000 0.0000 0.0000
2 Zn 0.0000 0.5000 0.5000
3 Zn 0.5000 0.0000 0.5000
4 Zn 0.5000 0.5000 0.0000
5 Tc 0.0000 0.0000 0.5000
6 Tc 0.0000 0.5000 0.0000
7 Tc 0.2500 0.2500 0.7500
8 Tc 0.2500 0.7500 0.2500
9 Tc 0.5000 0.0000 0.0000
10 Tc 0.5000 0.5000 0.5000
11 Tc 0.7500 0.2500 0.2500
12 Tc 0.7500 0.7500 0.7500
13 Ir 0.2500 0.2500 0.2500
14 Ir 0.2500 0.7500 0.7500
15 Ir 0.7500 0.2500 0.7500
16 Ir 0.7500 0.7500 0.2500

## Properties
ΔE_f: 34 meV/atom
Space-group type: F-43m


Record 5
The following is a meta-GGA SCAN calculation of a PBEsol-optimized structure of ZnTcIr2, from Alexandria.

Lattice parameters (Å, degrees): 2.7319 3.7496 5.3832 90.00 90.00 90.00
Element x y z (fractional)
1 Zn 0.0000 0.0000 0.0000
2 Tc 0.0000 0.0000 0.5000
3 Ir 0.5000 0.5000 0.2508
4 Ir 0.5000 0.5000 0.7492

## Properties
ΔE_f: -183 meV/atom
Space-group type: Pmmm


Record 6
The following is a meta-GGA SCAN calculation of a PBEsol-optimized structure of Zn2TcIr, from Alexandria.

Lattice parameters (Å, degrees): 2.7530 2.7530 7.2878 90.00 90.00 90.00
Element x y z (fractional)
1 Zn 0.0000 0.0000 0.0000
2 Zn 0.5000 0.5000 0.2553
3 Tc 0.5000 0.5000 0.7447
4 Ir 0.0000 0.0000 0.5078

## Properties
ΔE_f: -181 meV/atom
Space-group type: P4mm


Record 7
The following is a meta-GGA SCAN calculation of a PBEsol-optimized structure of ZnTcIr2, from Alexandria.

Lattice parameters (Å, degrees): 4.4971 4.4971 2.7799 90.00 90.00 90.00
Element x y z (fractional)
1 Zn 0.0000 0.0000 0.0000
2 Tc 0.5000 0.5000 0.0000
3 Ir 0.0000 0.5000 0.5000
4 Ir 0.5000 0.0000 0.5000

## Properties
ΔE_f: 123 meV/atom
Space-group type: P4/mmm


Record 8
The following is a meta-GGA SCAN calculation of a PBEsol-optimized structure of ZnTcIr2, from Alexandria.

Lattice parameters (Å, degrees): 5.4494 7.5002 2.7142 90.00 90.00 90.00
Element x y z (fractional)
1 Zn 0.0000 0.0000 0.0000
2 Zn 0.5000 0.5000 0.0000
3 Tc 0.0000 0.5000 0.0000
4 Tc 0.5000 0.0000 0.0000
5 Ir 0.2500 0.2500 0.5000
6 Ir 0.2500 0.7500 0.5000
7 Ir 0.7500 0.2500 0.5000
8 Ir 0.7500 0.7500 0.5000

## Properties
ΔE_f: -75 meV/atom
Space-group type: Cmmm


Record 9
The following is a meta-GGA SCAN calculation of a PBEsol-optimized structure of ZnTcIr2, from Alexandria.

Lattice parameters (Å, degrees): 2.7462 2.7462 7.3099 90.00 90.00 90.00
Element x y z (fractional)
1 Zn 0.0000 0.0000 0.0000
2 Tc 0.0000 0.0000 0.5000
3 Ir 0.5000 0.5000 0.2532
4 Ir 0.5000 0.5000 0.7468

## Properties
ΔE_f: -282 meV/atom
Space-group type: P4/mmm


Record 10
The following is a meta-GGA SCAN calculation of a PBEsol-optimized structure of ZnTcIr2, from Alexandria.

Lattice parameters (Å, degrees): 2.7169 2.7169 26.0255 90.00 90.00 120.00
Element x y z (fractional)
1 Zn 0.0000 0.0000 0.0000
2 Zn 0.3333 0.6667 0.6667
3 Zn 0.6667 0.3333 0.3333
4 Tc 0.0000 0.0000 0.5000
5 Tc 0.3333 0.6667 0.1667
6 Tc 0.6667 0.3333 0.8333
7 Ir 0.0000 0.0000 0.2494
8 Ir 0.0000 0.0000 0.7506
9 Ir 0.3333 0.6667 0.4173
10 Ir 0.3333 0.6667 0.9161
11 Ir 0.6667 0.3333 0.0839
12 Ir 0.6667 0.3333 0.5827

## Properties
ΔE_f: -191 meV/atom
Space-group type: R-3m


Record 11
The following is a meta-GGA SCAN calculation of a PBEsol-optimized structure of ZrTcIr, from Alexandria.

Lattice parameters (Å, degrees): 4.4575 4.4575 2.7843 90.00 90.00 120.00
Element x y z (fractional)
1 Zr 0.0000 0.0000 0.0000
2 Tc 0.6667 0.3333 0.2696
3 Ir 0.3333 0.6667 0.6623

## Properties
ΔE_f: -163 meV/atom
Space-group type: P3m1


Record 12
The following is a meta-GGA SCAN calculation of a PBEsol-optimized structure of Zr2TcIr, from Alexandria.

Lattice parameters (Å, degrees): 4.5612 4.5612 3.2969 90.00 90.00 90.00
Element x y z (fractional)
1 Zr 0.0000 0.5000 0.0000
2 Zr 0.5000 0.0000 0.0000
3 Tc 0.0000 0.0000 0.5000
4 Ir 0.5000 0.5000 0.5000

## Properties
ΔE_f: -882 meV/atom
Space-group type: P4/mmm


Record 13
The following is a meta-GGA SCAN calculation of a PBEsol-optimized structure of Zr2TcIr, from Alexandria.

Lattice parameters (Å, degrees): 3.1389 3.1389 24.8851 90.00 90.00 120.00
Element x y z (fractional)
1 Zr 0.0000 0.0000 0.2483
2 Zr 0.0000 0.0000 0.7517
3 Zr 0.3333 0.6667 0.4184
4 Zr 0.3333 0.6667 0.9149
5 Zr 0.6667 0.3333 0.0851
6 Zr 0.6667 0.3333 0.5816
7 Tc 0.0000 0.0000 0.5000
8 Tc 0.3333 0.6667 0.1667
9 Tc 0.6667 0.3333 0.8333
10 Ir 0.0000 0.0000 0.0000
11 Ir 0.3333 0.6667 0.6667
12 Ir 0.6667 0.3333 0.3333

## Properties
ΔE_f: -287 meV/atom
Space-group type: R-3m


Record 14
The following is a meta-GGA SCAN calculation of a PBEsol-optimized structure of Zr2TcIr, from Alexandria.

Lattice parameters (Å, degrees): 6.4920 6.4920 6.4920 90.00 90.00 90.00
Element x y z (fractional)
1 Zr 0.2500 0.2500 0.2500
2 Zr 0.2500 0.2500 0.7500
3 Zr 0.2500 0.7500 0.2500
4 Zr 0.2500 0.7500 0.7500
5 Zr 0.7500 0.2500 0.2500
6 Zr 0.7500 0.2500 0.7500
7 Zr 0.7500 0.7500 0.2500
8 Zr 0.7500 0.7500 0.7500
9 Tc 0.0000 0.0000 0.0000
10 Tc 0.0000 0.5000 0.5000
11 Tc 0.5000 0.0000 0.5000
12 Tc 0.5000 0.5000 0.0000
13 Ir 0.0000 0.0000 0.5000
14 Ir 0.0000 0.5000 0.0000
15 Ir 0.5000 0.0000 0.0000
16 Ir 0.5000 0.5000 0.5000

## Properties
ΔE_f: -903 meV/atom
Space-group type: Fm-3m


Record 15
The following is a meta-GGA SCAN calculation of a PBEsol-optimized structure of TeIr3, from Alexandria.

Lattice parameters (Å, degrees): 4.5354 5.7183 4.8934 90.00 90.00 90.00
Element x y z (fractional)
1 Te 0.2500 0.2500 0.1730
2 Te 0.7500 0.7500 0.8270
3 Ir 0.2500 0.0065 0.6784
4 Ir 0.2500 0.4935 0.6784
5 Ir 0.2500 0.7500 0.2121
6 Ir 0.7500 0.2500 0.7879
7 Ir 0.7500 0.5065 0.3216
8 Ir 0.7500 0.9935 0.3216

## Properties
Uncorrected formation energy: 0.54 eV per atom
Space-group type: Pmmn


Record 16
The following is a meta-GGA SCAN calculation of a PBEsol-optimized structure of Te2Ir, from Alexandria.

Lattice parameters (Å, degrees): 4.0215 13.4791 5.3750 90.00 90.00 90.00
Element x y z (fractional)
1 Te 0.0000 0.0417 0.2500
2 Te 0.0000 0.2948 0.2500
3 Te 0.0000 0.7052 0.7500
4 Te 0.0000 0.9583 0.7500
5 Te 0.5000 0.2052 0.7500
6 Te 0.5000 0.4583 0.7500
7 Te 0.5000 0.5417 0.2500
8 Te 0.5000 0.7948 0.2500
9 Ir 0.0000 0.3341 0.7500
10 Ir 0.0000 0.6659 0.2500
11 Ir 0.5000 0.1659 0.2500
12 Ir 0.5000 0.8341 0.7500

## Properties
Uncorrected formation energy: -0.29 eV per atom
Space-group type: Cmcm


Record 17
The following is a meta-GGA SCAN calculation of a PBEsol-optimized structure of Te2Ir, from Alexandria.

Lattice parameters (Å, degrees): 3.0770 3.4276 12.7836 90.00 90.00 90.00
Element x y z (fractional)
1 Te 0.0000 0.0000 0.1307
2 Te 0.0000 0.0000 0.8693
3 Te 0.5000 0.5000 0.3693
4 Te 0.5000 0.5000 0.6307
5 Ir 0.0000 0.0000 0.5000
6 Ir 0.5000 0.5000 0.0000

## Properties
Uncorrected formation energy: 0.29 eV per atom
Space-group type: Immm


Record 18
The following is a meta-GGA SCAN calculation of a PBEsol-optimized structure of Te2Ir, from Alexandria.

Lattice parameters (Å, degrees): 6.6161 6.6161 6.0082 90.00 90.00 90.00
Element x y z (fractional)
1 Te 0.1792 0.3209 0.0000
2 Te 0.1792 0.6792 0.5000
3 Te 0.3209 0.1792 0.5000
4 Te 0.3209 0.8208 0.0000
5 Te 0.6792 0.1792 0.0000
6 Te 0.6792 0.8208 0.5000
7 Te 0.8208 0.3209 0.5000
8 Te 0.8208 0.6792 0.0000
9 Ir 0.0000 0.0000 0.2500
10 Ir 0.0000 0.0000 0.7500
11 Ir 0.5000 0.5000 0.2500
12 Ir 0.5000 0.5000 0.7500

## Properties
Uncorrected formation energy: 0.31 eV per atom
Space-group type: I4/mcm


Record 19
The following is a meta-GGA SCAN calculation of a PBEsol-optimized structure of Te2Ir, from Alexandria.

Lattice parameters (Å, degrees): 12.8862 3.6478 7.4497 90.00 123.02 90.00
Element x y z (fractional)
1 Te 0.1188 0.0000 0.0022
2 Te 0.1318 0.0000 0.5227
3 Te 0.3682 0.5000 0.4773
4 Te 0.3812 0.5000 0.9978
5 Te 0.6188 0.5000 0.0022
6 Te 0.6318 0.5000 0.5227
7 Te 0.8682 0.0000 0.4773
8 Te 0.8812 0.0000 0.9978
9 Ir 0.0564 0.5000 0.7110
10 Ir 0.4436 0.0000 0.2890
11 Ir 0.5564 0.0000 0.7110
12 Ir 0.9436 0.5000 0.2890

## Properties
Uncorrected formation energy: -0.02 eV per atom
Space-group type: C2/m


Record 20
The following is a meta-GGA SCAN calculation of a PBEsol-optimized structure of Te2Ir, from Alexandria.

Lattice parameters (Å, degrees): 6.4520 6.4520 6.4520 90.00 90.00 90.00
Element x y z (fractional)
1 Te 0.1336 0.1336 0.1336
2 Te 0.1336 0.3664 0.6336
3 Te 0.3664 0.6336 0.1336
4 Te 0.3664 0.8664 0.6336
5 Te 0.6336 0.1336 0.3664
6 Te 0.6336 0.3664 0.8664
7 Te 0.8664 0.6336 0.3664
8 Te 0.8664 0.8664 0.8664
9 Ir 0.0000 0.0000 0.5000
10 Ir 0.0000 0.5000 0.0000
11 Ir 0.5000 0.0000 0.0000
12 Ir 0.5000 0.5000 0.5000

## Properties
Uncorrected formation energy: -0.32 eV per atom
Space-group type: Pa-3